[1]
## AcTmSb2 (PBE)

Data for a relaxed structure of AcTmSb2.

a = 8.163 Å, b = 8.163 Å, c = 8.163 Å
α = 32.08°, β = 32.08°, γ = 32.08°
Fractional positions:
Ac 0.000 0.000 0.000
Tm 0.171 0.171 0.171
Sb 0.576 0.576 0.576
Sb 0.762 0.762 0.762

Summary:
E_tot = -5.2387 eV/atom
energy relative to the elements, uncorrected = -1.03 eV/atom
total moment = 0.0 μB per cell
space group = R3m
excess energy over the best structure of this formula in the dataset = 0.085 eV per atom

[2]
## BaLaHg (PBE)

Data for a relaxed structure of BaLaHg.

a = 4.076 Å, b = 4.076 Å, c = 8.392 Å
α = 90.00°, β = 90.00°, γ = 120.00°
Fractional positions:
Ba 0.000 0.000 0.000
La 0.333 0.667 0.583
Hg 0.667 0.333 0.311

Summary:
E_tot = -2.5206 eV/atom
energy of formation from the pure elements = -137 meV per atom
total moment = 0.0 μB per cell
space group = P3m1
excess energy over the best structure of this formula in the dataset = 0.148 eV per atom

[3]
## VSnTe2N (PBE)

Data for a relaxed structure of VSnTe2N.

a = 5.533 Å, b = 5.533 Å, c = 3.679 Å
α = 90.00°, β = 90.00°, γ = 90.00°
Fractional positions:
V 0.000 0.000 0.000
Sn 0.500 0.500 0.500
Te 0.000 0.500 0.000
Te 0.500 0.000 0.000
N 0.000 0.000 0.500

Summary:
E_tot = -5.5586 eV/atom
energy relative to the elements, uncorrected = -0.01 eV/atom
total moment = 0.7 μB per cell
space group = P4/mmm
excess energy over the best structure of this formula in the dataset = 0.000 eV per atom

[4]
## Zr2RhSe (PBE)

Data for a relaxed structure of Zr2RhSe.

a = 5.979 Å, b = 5.979 Å, c = 5.979 Å
α = 105.72°, β = 105.72°, γ = 117.27°
Fractional positions:
Zr 0.118 0.625 0.993
Zr 0.375 0.368 0.493
Zr 0.632 0.125 0.007
Zr 0.875 0.882 0.507
Rh 0.000 0.000 0.000
Rh 0.750 0.250 0.500
Se 0.250 0.750 0.500
Se 0.500 0.500 0.000

Summary:
E_tot = -7.5159 eV/atom
energy relative to the elements, uncorrected = -0.53 eV/atom
total moment = 0.0 μB per cell
space group = I-42d

[5]
## Rb2Cd4SnBi3 (PBE)

Data for a relaxed structure of Rb2Cd4SnBi3.

a = 5.213 Å, b = 5.213 Å, c = 12.449 Å
α = 90.00°, β = 90.00°, γ = 90.00°
Fractional positions:
Rb 0.000 0.500 0.248
Rb 0.500 0.000 0.752
Cd 0.000 0.000 0.000
Cd 0.000 0.500 0.629
Cd 0.500 0.000 0.371
Cd 0.500 0.500 0.000
Sn 0.000 0.000 0.500
Bi 0.000 0.500 0.869
Bi 0.500 0.000 0.131
Bi 0.500 0.500 0.500

Summary:
E_tot = -2.3261 eV/atom
energy of formation from the pure elements = -202 meV per atom
total moment = 0.0 μB per cell
space group = P-4m2

[6]
## TbInHg (PBE)

Data for a relaxed structure of TbInHg.

a = 10.533 Å, b = 10.533 Å, c = 8.603 Å
α = 94.74°, β = 94.74°, γ = 30.79°
Fractional positions:
Tb 0.061 0.939 0.750
Tb 0.174 0.514 0.342
Tb 0.486 0.826 0.158
Tb 0.514 0.174 0.842
Tb 0.826 0.486 0.658
Tb 0.939 0.061 0.250
In 0.000 0.500 0.000
In 0.060 0.734 0.005
In 0.266 0.940 0.495
In 0.500 0.000 0.500
In 0.734 0.060 0.505
In 0.940 0.266 0.995
Hg 0.010 0.620 0.680
Hg 0.380 0.990 0.820
Hg 0.500 0.500 0.000
Hg 0.500 0.500 0.500
Hg 0.620 0.010 0.180
Hg 0.990 0.380 0.320

Summary:
E_tot = -2.8316 eV/atom
energy of formation from the pure elements = -275 meV per atom
total moment = 0.0 μB per cell
space group = C2/c

total moment of number 6 (TbInHg)?
0.0 μB per cell